(1)
The following is a DFT calculation (PBE-GGA) of a relaxed LiLa4Sn8 crystal.

Lattice parameters (Å, degrees): 4.4889 4.6207 17.8323 90.00 90.00 90.00
Space group Pmm2 (No. 25)
Symmetry-distinct sites (fractional):
Li 0.0000 0.0000 0.0000 [1 per cell]
La 0.0000 0.0000 0.7762 [1 per cell]
La 0.0000 0.5000 0.2897 [1 per cell]
La 0.5000 0.0000 0.5770 [1 per cell]
La 0.5000 0.5000 0.0792 [1 per cell]
Sn 0.0000 0.0000 0.1453 [1 per cell]
Sn 0.0000 0.0000 0.4301 [1 per cell]
Sn 0.0000 0.5000 0.6169 [1 per cell]
Sn 0.0000 0.5000 0.9175 [1 per cell]
Sn 0.5000 0.0000 0.2526 [1 per cell]
Sn 0.5000 0.0000 0.9175 [1 per cell]
Sn 0.5000 0.5000 0.4376 [1 per cell]
Sn 0.5000 0.5000 0.7283 [1 per cell]

Summary:
- density (g/cm3) = 6.8
- DFT total energy (eV per atom) = -4.783
- volume (Å³ per atom) = 28.45
- energy relative to the elements (eV/f.u.) = -8.5

---

(2)
The following is a DFT calculation (PBE-GGA) of a relaxed TaFe4Hg crystal.

Lattice parameters (Å, degrees): 6.8773 6.8773 6.8773 90.00 90.00 90.00
Space group F-43m (No. 216)
Symmetry-distinct sites (fractional):
Ta 0.0000 0.0000 0.0000 [4 per cell]
Fe 0.1249 0.1249 0.6249 [16 per cell]
Hg 0.2500 0.2500 0.2500 [4 per cell]

Summary:
- density (g/cm3) = 12.4
- DFT total energy (eV per atom) = -7.622
- volume (Å³ per atom) = 13.55
- energy relative to the elements (eV/f.u.) = 0.3

---

(3)
The following is a DFT calculation (PBE-GGA) of a relaxed Ac2CuSn4Au3 crystal.

Lattice parameters (Å, degrees): 4.7070 4.7070 11.4445 90.00 90.00 90.00
Space group P-4m2 (No. 115)
Symmetry-distinct sites (fractional):
Ac 0.0000 0.5000 0.2340 [2 per cell]
Cu 0.5000 0.5000 0.0000 [1 per cell]
Sn 0.0000 0.0000 0.5000 [1 per cell]
Sn 0.0000 0.5000 0.8781 [2 per cell]
Sn 0.5000 0.5000 0.5000 [1 per cell]
Au 0.0000 0.0000 0.0000 [1 per cell]
Au 0.0000 0.5000 0.6418 [2 per cell]

Summary:
- density (g/cm3) = 10.4
- DFT total energy (eV per atom) = -4.404
- volume (Å³ per atom) = 25.36
- energy relative to the elements (eV/f.u.) = -5.9

---

(4)
The following is a DFT calculation (PBE-GGA) of a relaxed KPH3 crystal.

Lattice parameters (Å, degrees): 4.4414 5.4235 7.6487 90.00 90.00 90.00
Space group Pmmn (No. 59, origin choice 2)
Symmetry-distinct sites (fractional):
K 0.2500 0.2500 0.2110 [2 per cell]
P 0.2500 0.2500 0.7752 [2 per cell]
H 0.1390 0.7500 0.2347 [4 per cell]
H 0.2500 0.2500 0.5884 [2 per cell]

Summary:
- density (g/cm3) = 1.3
- DFT total energy (eV per atom) = -3.388
- volume (Å³ per atom) = 18.42
- offset from the most stable computed form (eV/atom) = 0.000

---

(5)
The following is a DFT calculation (PBE-GGA) of a relaxed Nd4Y2Tm3 crystal.

Lattice parameters (Å, degrees): 13.3811 13.7604 6.4982 90.00 93.81 90.00
Space group C2/c (No. 15)
Symmetry-distinct sites (fractional):
Nd 0.0963 0.0760 0.0810 [8 per cell]
Nd 0.2116 0.4393 0.5440 [8 per cell]
Y 0.1261 0.3188 0.1134 [8 per cell]
Tm 0.0000 0.4617 0.7500 [4 per cell]
Tm 0.1078 0.2119 0.6135 [8 per cell]

Summary:
- density (g/cm3) = 7.0
- DFT total energy (eV per atom) = -4.939
- volume (Å³ per atom) = 33.16
- offset from the most stable computed form (eV/atom) = 0.020
- energy relative to the elements (eV/f.u.) = 1.0

---

(6)
The following is a DFT calculation (PBE-GGA) of a relaxed NaTl2Rh2 crystal.

Lattice parameters (Å, degrees): 5.0247 5.0247 9.1791 90.00 90.00 90.00
Space group I4/mmm (No. 139)
Symmetry-distinct sites (fractional):
Na 0.0000 0.0000 0.0000 [2 per cell]
Tl 0.0000 0.5000 0.2500 [4 per cell]
Rh 0.0000 0.0000 0.3657 [4 per cell]

Summary:
- density (g/cm3) = 9.1
- DFT total energy (eV per atom) = -3.975
- volume (Å³ per atom) = 23.18
- offset from the most stable computed form (eV/atom) = 0.192
- energy relative to the elements (eV/f.u.) = 0.9

---

(7)
The following is a DFT calculation (PBE-GGA) of a relaxed SrLiCo2 crystal.

Lattice parameters (Å, degrees): 5.2985 9.0657 2.9659 90.00 104.36 90.00
Space group C2/m (No. 12)
Symmetry-distinct sites (fractional):
Sr 0.0000 0.0000 0.0000 [2 per cell]
Li 0.0000 0.5000 0.0000 [2 per cell]
Co 0.2500 0.2500 0.5000 [4 per cell]

Summary:
- density (g/cm3) = 5.1
- DFT total energy (eV per atom) = -3.722
- volume (Å³ per atom) = 17.25
- offset from the most stable computed form (eV/atom) = 0.538
- energy relative to the elements (eV/f.u.) = 2.9

---

(8)
The following is a DFT calculation (PBE-GGA) of a relaxed Pr2TlBi crystal.

Lattice parameters (Å, degrees): 4.1782 4.1782 7.1389 90.00 90.00 90.00
Space group P4/mmm (No. 123)
Symmetry-distinct sites (fractional):
Pr 0.0000 0.0000 0.2446 [2 per cell]
Tl 0.5000 0.5000 0.5000 [1 per cell]
Bi 0.5000 0.5000 0.0000 [1 per cell]

Summary:
- density (g/cm3) = 9.3
- DFT total energy (eV per atom) = -4.542
- volume (Å³ per atom) = 31.16
- offset from the most stable computed form (eV/atom) = 0.055
- energy relative to the elements (eV/f.u.) = -2.4

---

(9)
The following is a DFT calculation (PBE-GGA) of a relaxed NaSc2Re crystal.

Lattice parameters (Å, degrees): 3.2092 3.2092 31.7017 90.00 90.00 120.00
Space group R-3m (No. 166, hexagonal axes)
Symmetry-distinct sites (fractional):
Na 0.0000 0.0000 0.0000 [3 per cell]
Sc 0.0000 0.0000 0.1044 [6 per cell]
Re 0.0000 0.0000 0.5000 [3 per cell]

Summary:
- density (g/cm3) = 5.3
- DFT total energy (eV per atom) = -6.376
- volume (Å³ per atom) = 23.56
- offset from the most stable computed form (eV/atom) = 0.000
- energy relative to the elements (eV/f.u.) = 0.9

---

(10)
The following is a DFT calculation (PBE-GGA) of a relaxed Er2InPb9 crystal.

Lattice parameters (Å, degrees): 4.7847 4.7847 15.4793 90.00 90.00 90.00
Space group P4/mmm (No. 123)
Symmetry-distinct sites (fractional):
Er 0.0000 0.0000 0.1512 [2 per cell]
In 0.0000 0.0000 0.5000 [1 per cell]
Pb 0.0000 0.5000 0.0000 [2 per cell]
Pb 0.0000 0.5000 0.3281 [4 per cell]
Pb 0.5000 0.5000 0.1673 [2 per cell]
Pb 0.5000 0.5000 0.5000 [1 per cell]

Summary:
- density (g/cm3) = 10.8
- DFT total energy (eV per atom) = -3.923
- volume (Å³ per atom) = 29.53
- energy relative to the elements (eV/f.u.) = -1.8

---

(11)
The following is a DFT calculation (PBE-GGA) of a relaxed Rb2LiHf crystal.

Lattice parameters (Å, degrees): 9.0404 9.0404 9.0404 90.00 90.00 90.00
Space group Fm-3m (No. 225)
Symmetry-distinct sites (fractional):
Rb 0.2500 0.2500 0.2500 [8 per cell]
Li 0.0000 0.0000 0.0000 [4 per cell]
Hf 0.0000 0.0000 0.5000 [4 per cell]

Summary:
- density (g/cm3) = 3.2
- DFT total energy (eV per atom) = -2.214
- volume (Å³ per atom) = 46.18
- offset from the most stable computed form (eV/atom) = 0.000
- energy relative to the elements (eV/f.u.) = 4.9

---

(12)
The following is a DFT calculation (PBE-GGA) of a relaxed Er2Ga5Cu5 crystal.

Lattice parameters (Å, degrees): 4.0394 5.2216 9.2658 90.00 90.00 90.00
Space group Pmmm (No. 47)
Symmetry-distinct sites (fractional):
Er 0.0000 0.0000 0.0000 [1 per cell]
Er 0.0000 0.5000 0.5000 [1 per cell]
Ga 0.0000 0.0000 0.3150 [2 per cell]
Ga 0.0000 0.5000 0.1667 [2 per cell]
Ga 0.5000 0.0000 0.5000 [1 per cell]
Cu 0.5000 0.2534 0.2494 [4 per cell]
Cu 0.5000 0.5000 0.0000 [1 per cell]

Summary:
- density (g/cm3) = 8.5
- DFT total energy (eV per atom) = -4.040
- volume (Å³ per atom) = 16.29
- energy relative to the elements (eV/f.u.) = -3.7